Record 1
K2TiPbO4 | PBE-GGA | relaxed

Lattice parameters (Å, degrees): 6.0544 6.2291 8.1173 90.00 90.00 90.00
Sites, in units of the cell vectors:
O 0.4986 0.6739 0.6885
O 0.2553 0.0109 0.5000
O 0.9986 0.3261 0.8115
O 0.4986 0.6739 0.3115
O 0.9986 0.3261 0.1885
O 0.7553 0.9891 0.0000
O 0.7471 0.0077 0.5000
O 0.2471 0.9923 0.0000
K 0.5003 0.2463 0.2394
K 0.0003 0.7537 0.2606
K 0.0003 0.7537 0.7394
K 0.5003 0.2463 0.7606
Ti 0.4999 0.8301 0.5000
Ti 0.9999 0.1699 0.0000
Pb 0.4997 0.7347 0.0000
Pb 0.9997 0.2653 0.5000

Summary:
**Calculated total energy**: -0.4617 Ry/atom
**Space-group type**: Pmn2_1, No. 31
**DOS at the Fermi energy**: 0.000 states/eV/atom
**Raw formation energy**: -2.0775 eV per atom

***

Record 2
K4Tl3PbO8 | PBE-GGA | relaxed

Lattice parameters (Å, degrees): 7.0720 7.4282 7.0723 118.43 120.00 90.00
Sites, in units of the cell vectors:
K 0.0000 0.0000 0.0000
K 0.5000 0.0000 0.0000
K 0.5000 0.0000 0.5000
K 0.0000 0.0000 0.5000
O 0.7366 0.6956 0.9661
O 0.2692 0.3076 0.5384
O 0.7705 0.3044 0.5410
O 0.7705 0.3044 0.0339
O 0.2634 0.3044 0.0339
O 0.7308 0.6924 0.4616
O 0.2295 0.6956 0.9661
O 0.2295 0.6956 0.4590
Tl 0.5000 0.5000 0.5000
Tl 0.5000 0.5000 0.0000
Tl 0.0000 0.5000 0.5000
Pb 0.0000 0.5000 0.0000

Summary:
**Calculated total energy**: -0.3309 Ry/atom
**Space-group type**: R-3m, No. 166
**DOS at the Fermi energy**: 0.145 states/eV/atom
**Raw formation energy**: -1.0733 eV per atom

***

- calculated total energy of number 1 (K2TiPbO4)?
  -0.4617 Ry/atom

***

- Which formula does entry 2 have?
  K4Tl3PbO8